Material: ThCd2Cu
Method: DFT, PBE
State: relaxed

```
ThCd2Cu
1.0
-1.328 -0.459 -3.010
-1.122 -2.979 0.949
-6.773 3.339 2.479
Th Cu Cd
1 1 2
direct
0.500 0.500 0.500
0.500 0.500 0.000
0.000 0.000 0.807
0.000 0.000 0.193
```

Raw total energy: -13.4 eV/cell
Energy of formation: -12 meV per atom